Record 1
Here is crystalline Pm4S3O2 at its relaxed geometry from Alexandria via LeMat-Bulk. Energies are from PBE.

## Properties
Formation energy (no corrections) in eV per atom: -2.521
DOS at the Fermi energy in states/eV/f.u.: 2.89
Polymorph energy (0 for the lowest one) in eV per formula unit: 0.00
Theoretical density in Mg/m³: 5.97
Space group: C2/m, No. 12

Lattice parameters (Å, degrees): 6.7751 6.7751 9.9179 52.82 52.82 33.97
Fractional positions:
Pm: 0.6949 0.6949 0.8815
Pm: 0.3051 0.3051 0.1185
Pm: 0.9024 0.9024 0.3491
Pm: 0.0976 0.0976 0.6509
S: 0.6046 0.6046 0.2414
S: 0.0000 0.0000 0.0000
S: 0.3954 0.3954 0.7586
O: 0.7083 0.7083 0.6328
O: 0.2917 0.2917 0.3672

Record 2
Here is crystalline SiMo2Br at its relaxed geometry from Alexandria via LeMat-Bulk. Energies are from PBE.

## Properties
Formation energy (no corrections) in eV per atom: 0.138
DOS at the Fermi energy in states/eV/f.u.: 2.57
Polymorph energy (0 for the lowest one) in eV per formula unit: 0.00
Theoretical density in Mg/m³: 6.61
Space group: Pmmm, No. 47

Lattice parameters (Å, degrees): 3.2116 3.3317 7.0411 90.03 90.00 90.00
Fractional positions:
Br: 0.5000 0.7500 0.7500
Mo: 0.0000 0.7497 0.0807
Mo: 0.0000 0.7503 0.4193
Si: 0.5000 0.2500 0.2500

Record 3
Here is crystalline Pr3NdMg2 at its relaxed geometry from Alexandria via LeMat-Bulk. Energies are from PBE.

## Properties
Formation enthalpy at 0 K in eV/atom: -0.065
DOS at the Fermi energy in states/eV/f.u.: 6.08
Theoretical density in Mg/m³: 5.31
Space group: P4/mmm, No. 123

Lattice parameters (Å, degrees): 3.8367 3.8367 13.0749 90.00 90.00 90.00
Fractional positions:
Pr: 0.0000 0.0000 0.0000
Pr: 0.0000 0.0000 0.6947
Pr: 0.0000 0.0000 0.3053
Nd: 0.5000 0.5000 0.5000
Mg: 0.5000 0.5000 0.8481
Mg: 0.5000 0.5000 0.1519

Question: Among the records above, which one has the highest DOS at the Fermi energy?
Answer: Pr3NdMg2